Material: ReTe2NF
Method: DFT, PBE
State: optimized geometry

Cell lengths 4.875, 4.875, 3.638 Å; angles 90.00, 90.00, 90.00 degrees
Sites, in units of the cell vectors:
Re: 0.500 0.500 0.500
N: 0.000 0.000 0.500
Te: 0.000 0.500 0.000
Te: 0.500 0.000 0.000
F: 0.000 0.000 0.000

Properties
Space group: P4/mmm (123)
DOS at the Fermi energy in states/eV/cell: 4.33
E in eV/cell: -21.15
Uncorrected formation energy in kJ per mole of atoms: 150.1
ρ in g/cm³: 9.11
Energy above the lowest structure with this stoichiometry in kJ/mol of formula units: 690.9